(1)
This record from Alexandria describes crystalline BaSn3As at its relaxed geometry. The functional is PBE.

```
BaSn3As
1.0
5.553 0.000 0.000
0.000 5.553 0.000
0.000 0.000 5.553
Ba Sn As
1 3 1
Cartesian
0.000 0.000 0.000 Ba
0.000 2.777 2.777 Sn
2.777 0.000 2.777 Sn
2.777 2.777 0.000 Sn
2.777 2.777 2.777 As
```

Output
Total magnetization in μB per cell: 0.0
Energy relative to the lowest polymorph listed for this composition in meV per atom: 0
ΔE_f in meV per atom: -20.4
V in Å³ per cell: 171.3
Calculated density in kg/m³: 5511
SG: Pm-3m

(2)
This record from Alexandria describes crystalline NbAs2F at its relaxed geometry. The functional is PBE.

```
NbAs2F
1.0
0.000 3.194 3.194
3.194 0.000 3.194
3.194 3.194 0.000
Nb As F
1 2 1
Cartesian
0.000 0.000 0.000 Nb
1.597 1.597 1.597 As
4.791 4.791 4.791 As
3.194 3.194 3.194 F
```

Output
Total magnetization in μB per cell: 0.0
Energy relative to the lowest polymorph listed for this composition in meV per atom: 0
V in Å³ per cell: 65.1
Calculated density in kg/m³: 6671
SG: Fm-3m

(3)
This record from Alexandria describes crystalline SrAs2Pd at its relaxed geometry. The functional is PBE.

```
SrAs2Pd
1.0
2.076 1.199 7.939
-2.076 1.199 7.939
0.000 -2.397 7.939
Sr As Pd
1 2 1
Cartesian
0.000 0.000 0.000 Sr
0.000 0.000 3.074 As
0.000 0.000 20.744 As
0.000 0.000 11.909 Pd
```

Output
Total magnetization in μB per cell: 0.0
ΔE_f in meV per atom: -182.2
V in Å³ per cell: 118.5
Calculated density in kg/m³: 4818
SG: R-3m

(4)
This record from Alexandria describes crystalline Hf2ScIn at its relaxed geometry. The functional is PBE.

```
Hf2ScIn
1.0
-4.044 4.044 2.919
4.044 -4.044 2.919
4.044 4.044 -2.919
Hf Sc In
4 2 2
Cartesian
2.022 1.927 -0.730 Hf
2.117 -2.022 3.648 Hf
2.022 2.117 2.189 Hf
1.927 6.065 0.730 Hf
4.044 0.000 1.459 Sc
0.000 0.000 2.919 Sc
0.000 0.000 0.000 In
0.000 4.044 1.459 In
```

Output
Total magnetization in μB per cell: 0.0
ΔE_f in meV per atom: 404.1
V in Å³ per cell: 190.9
Calculated density in kg/m³: 8991
SG: I-42d

(5)
This record from Alexandria describes crystalline Li2Bi3Pb at its relaxed geometry. The functional is PBE.

```
Li2Bi3Pb
1.0
3.459 0.000 0.000
0.000 3.459 0.000
0.000 0.000 13.270
Li Bi Pb
2 3 1
Cartesian
0.000 0.000 1.957 Li
0.000 0.000 11.313 Li
1.730 1.730 0.000 Bi
1.730 1.730 3.968 Bi
1.730 1.730 9.302 Bi
0.000 0.000 6.635 Pb
```

Output
Total magnetization in μB per cell: 0.0
ΔE_f in meV per atom: -225.7
V in Å³ per cell: 158.8
Calculated density in kg/m³: 8868
SG: P4/mmm

(6)
This record from Alexandria describes crystalline NaInCl4 at its relaxed geometry. The functional is PBE.

```
NaInCl4
1.0
7.173 -1.952 0.000
7.173 1.952 0.000
-3.313 0.000 6.211
Na In Cl
1 1 4
Cartesian
0.000 0.000 0.000 Na
5.517 0.000 3.105 In
0.112 0.000 2.922 Cl
5.297 0.000 0.651 Cl
5.737 0.000 5.560 Cl
10.921 0.000 3.289 Cl
```

Output
Total magnetization in μB per cell: 0.0
Energy relative to the lowest polymorph listed for this composition in meV per atom: 0
V in Å³ per cell: 173.9
Calculated density in kg/m³: 2670
SG: C2/m

(7)
This record from Alexandria describes crystalline ScNiHg2 at its relaxed geometry. The functional is PBE.

```
ScNiHg2
1.0
4.208 0.000 0.000
0.000 4.208 0.000
0.000 0.000 4.312
Sc Ni Hg
1 1 2
Cartesian
0.000 0.000 0.000 Sc
2.104 2.104 0.000 Ni
0.000 2.104 2.156 Hg
2.104 0.000 2.156 Hg
```

Output
Total magnetization in μB per cell: 0.0
ΔE_f in meV per atom: -84.8
V in Å³ per cell: 76.3
Calculated density in kg/m³: 10980
SG: P4/mmm

(8)
This record from Alexandria describes crystalline U3PaTl4O12 at its relaxed geometry. The functional is PBE.

```
U3PaTl4O12
1.0
-4.368 4.368 4.368
4.368 -4.368 4.368
4.368 4.368 -4.368
U Pa Tl O
3 1 4 12
Cartesian
4.368 0.000 0.000 U
0.000 4.368 0.000 U
0.000 0.000 4.368 U
0.000 0.000 0.000 Pa
2.184 2.184 -2.184 Tl
2.184 -2.184 2.184 Tl
-2.184 2.184 2.184 Tl
2.184 2.184 2.184 Tl
2.199 0.000 0.000 O
6.538 0.000 0.000 O
4.368 2.184 0.000 O
4.368 0.000 2.184 O
0.000 2.199 0.000 O
0.000 0.000 2.199 O
2.184 4.368 0.000 O
2.184 0.000 4.368 O
0.000 6.538 0.000 O
0.000 0.000 6.538 O
0.000 4.368 2.184 O
0.000 2.184 4.368 O
```

Output
Total magnetization in μB per cell: 3.0
E in eV/atom: -8.19
V in Å³ per cell: 333.5
Calculated density in kg/m³: 9733
SG: Im-3m